Record 1
The following is a meta-GGA SCAN calculation of a PBEsol-optimized structure of CdW2Br, from the Alexandria database.

The structure belongs to space group I-4m2 (No. 119); the cell edges are 4.625, 4.625 and 6.575 Å and the angles 90.00°, 90.00° and 90.00°. The asymmetric unit holds Cd at (0.000, 0.000, 0.000), W at (0.000, 0.000, 0.500), W at (0.000, 0.500, 0.250) and Br at (0.000, 0.500, 0.750).

Its density of states at the Fermi level is 0.473 states/eV per atom. The total magnetization comes out at 0.00 μB/cell. The calculation puts the volume at 141 Å³ per cell. For the calculated total energy, the calculation gives -367.3 eV/cell.

Record 2
The following is a meta-GGA SCAN calculation of a PBEsol-optimized structure of Ho2AlGe3, from the Alexandria database.

The structure belongs to space group Pnma (No. 62); the cell edges are 6.701, 4.117 and 17.383 Å and the angles 90.00°, 90.00° and 90.00°. The asymmetric unit holds Ho at (0.160, 0.250, 0.205), Ho at (0.168, 0.250, 0.415), Al at (0.046, 0.750, 0.065), Ge at (0.045, 0.250, 0.670), Ge at (0.153, 0.250, 0.811) and Ge at (0.247, 0.750, 0.535).

As for the formation energy: -0.701 eV per atom. Its density of states at the Fermi level is 0.369 states/eV per atom. The total magnetization comes out at 0.00 μB/cell. The calculation puts the volume at 480 Å³ per cell.

Record 3
The following is a meta-GGA SCAN calculation of a PBEsol-optimized structure of Mn2ZnSb, from the Alexandria database.

The structure belongs to space group I4/mmm (No. 139); the cell edges are 3.900, 3.900 and 7.538 Å and the angles 90.00°, 90.00° and 90.00°. The asymmetric unit holds Mn at (0.000, 0.500, 0.250), Zn at (0.000, 0.000, 0.000) and Sb at (0.000, 0.000, 0.500).

Its density of states at the Fermi level is 0.456 states/eV per atom. The total magnetization comes out at 12.74 μB/cell. The calculation puts the volume at 115 Å³ per cell. For the calculated total energy, the calculation gives -174.9 eV/cell.

Record 4
The following is a meta-GGA SCAN calculation of a PBEsol-optimized structure of CrFe2Ag, from the Alexandria database.

The structure belongs to space group C2/m (No. 12); the cell edges are 8.490, 2.575 and 4.631 Å and the angles 90.00°, 100.06° and 90.00°. The asymmetric unit holds Cr at (0.000, 0.000, 0.000), Fe at (0.244, 0.500, 0.228) and Ag at (0.000, 0.500, 0.500).

As for the formation energy: 0.424 eV per atom. Its density of states at the Fermi level is 0.930 states/eV per atom. The total magnetization comes out at 4.09 μB/cell. The calculation puts the volume at 100 Å³ per cell.

Record 5
The following is a meta-GGA SCAN calculation of a PBEsol-optimized structure of NiMoPt2, from the Alexandria database.

The structure belongs to space group P4/mmm (No. 123); the cell edges are 4.602, 4.602 and 2.702 Å and the angles 90.00°, 90.00° and 90.00°. The asymmetric unit holds Ni at (0.000, 0.000, 0.000), Mo at (0.500, 0.500, 0.000) and Pt at (0.000, 0.500, 0.500).

As for the formation energy: -0.042 eV per atom. Its density of states at the Fermi level is 0.857 states/eV per atom. The total magnetization comes out at 1.39 μB/cell. The calculation puts the volume at 57 Å³ per cell.

Record 6
The following is a meta-GGA SCAN calculation of a PBEsol-optimized structure of Ba2SrMn, from the Alexandria database.

The structure belongs to space group R-3m (No. 166, hexagonal axes); the cell edges are 4.2117, 4.2117 and 35.3499 Å and the angles 90.00°, 90.00° and 120.00°. The asymmetric unit holds Ba at (0.0000, 0.0000, 0.2289), Sr at (0.0000, 0.0000, 0.0000) and Mn at (0.0000, 0.0000, 0.5000).

As for the formation energy: 0.292 eV per atom. Its density of states at the Fermi level is 1.040 states/eV per atom. The total magnetization comes out at 10.56 μB/cell. The calculation puts the volume at 543 Å³ per cell.